! MgMnCl2O, optimized geometry, DFT PBE with a Hubbard U; values from VASP
! energy: -4.510 eV/atom
! space group: P4/mmm
&SYSTEM
  ibrav = 0, nat = 5, ntyp = 4
/
ATOMIC_SPECIES
Mn 54.94 Mn.upf
Cl 35.45 Cl.upf
O 16.00 O.upf
Mg 24.30 Mg.upf
CELL_PARAMETERS angstrom
5.052 0.000 0.000
0.000 5.052 0.000
0.000 0.000 3.774
ATOMIC_POSITIONS crystal
Mn 0.000 0.000 0.000
Cl 0.000 0.500 0.000
Cl 0.500 0.000 0.000
O 0.000 0.000 0.500
Mg 0.500 0.500 0.500